A geometry-optimized CuPtO2F structure. Source: Alexandria via LeMat-Bulk, functional PBE-GGA.

```
CuPtO2F
1.0
3.9076 0.0000 0.0000
0.0000 3.9076 0.0000
0.0000 0.0000 3.6592
Cu Pt O F
1 1 2 1
Direct
0.0000 0.0000 0.0000 Cu
0.5000 0.5000 0.5000 Pt
0.0000 0.5000 0.0000 O
0.5000 0.0000 0.0000 O
0.0000 0.0000 0.5000 F
```

Results
Magnetization ... 0.000 μB per atom
Energy relative to the elements, uncorrected ... 14.7 kJ per mole of atoms